# 1
Below is a relaxed structure of BeCr2ReAs, with properties calculated at the GGA-PBE level.

Structure (extended XYZ):
```
5
Lattice="3.9703 0.0000 0.0000 0.0000 4.1693 0.0000 0.0000 0.0000 3.9703" Properties=species:S:1:pos:R:3 pbc="T T T"
Re 0.0000 2.0847 0.0000
As 1.9851 2.0847 1.9851
Be 0.0000 0.0000 0.0000
Cr 0.0000 0.0000 1.9851
Cr 1.9851 0.0000 0.0000
```

Properties
The formation energy comes out at 0.88 eV per atom. The value obtained for the density of states at the Fermi level is 8.86 states/eV/f.u. Its total energy is -7.135 eV per atom.

---

# 2
Below is a relaxed structure of BeCr2AsS, with properties calculated at the GGA-PBE level.

Structure (extended XYZ):
```
5
Lattice="-1.3608 0.7434 -4.2690 -0.0501 -3.8594 -0.6561 -4.3329 -0.1734 1.3510" Properties=species:S:1:pos:R:3 pbc="T T T"
Cr -2.1664 -0.0867 0.6755
Cr -0.6804 0.3717 -2.1345
As 0.0000 0.0000 0.0000
S -2.8719 -1.6447 -1.7871
Be -0.0250 -1.9297 -0.3280
```

Properties
The value obtained for the density of states at the Fermi level is 8.04 states/eV/f.u. Its total energy is -5.283 eV per atom.

---

# 3
Below is a relaxed structure of BeCrAs2Se, with properties calculated at the GGA-PBE level.

Structure (extended XYZ):
```
5
Lattice="-2.3766 3.2959 -1.4729 -1.6662 -2.5658 -3.0530 -3.5213 -1.2215 2.9484" Properties=species:S:1:pos:R:3 pbc="T T T"
Cr -3.7820 -0.2457 -0.7888
As -0.8331 -1.2829 -1.5265
As -1.1883 1.6479 -0.7365
Se -1.7606 -0.6107 1.4742
Be 0.0000 0.0000 0.0000
```

Properties
The value obtained for the density of states at the Fermi level is 6.86 states/eV/f.u. The distance to the lowest polymorph of the same formula is 170 meV per atom. Its total energy is -4.301 eV per atom.

---

# 4
Below is a relaxed structure of BeCrAs2Se, with properties calculated at the GGA-PBE level.

Structure (extended XYZ):
```
5
Lattice="-3.6169 -2.7142 -1.0372 0.1096 -1.7824 4.2820 -2.9454 3.3614 1.4746" Properties=species:S:1:pos:R:3 pbc="T T T"
Cr 0.0000 0.0000 0.0000
As 0.0548 -0.8912 2.1410
As -1.8084 -1.3571 -0.5186
Se -1.4727 1.6807 0.7373
Be -3.2263 -0.5676 2.3597
```

Properties
The value obtained for the density of states at the Fermi level is 3.04 states/eV/f.u. The distance to the lowest polymorph of the same formula is 0 meV per atom. Its total energy is -4.471 eV per atom.

---

# 5
Below is a relaxed structure of BeV2CrAs, with properties calculated at the GGA-PBE level.

Structure (extended XYZ):
```
5
Lattice="-3.7946 -0.8599 1.3220 0.5214 -3.7651 -0.9524 1.4792 -0.7464 3.7604" Properties=species:S:1:pos:R:3 pbc="T T T"
Cr 0.2607 -1.8825 -0.4762
As -0.8969 -2.6857 2.0650
Be 0.0000 0.0000 0.0000
V 0.7396 -0.3732 1.8802
V -1.8973 -0.4300 0.6610
```

Properties
The formation energy comes out at 0.56 eV per atom. The value obtained for the density of states at the Fermi level is 6.53 states/eV/f.u. Its total energy is -6.683 eV per atom.

---

# 6
Below is a relaxed structure of Cs2BeAs2, with properties calculated at the GGA-PBE level.

Structure (extended XYZ):
```
5
Lattice="-3.7748 -1.7575 6.0981 -5.6909 -2.2029 -4.1577 -3.3772 -5.2742 0.8600" Properties=species:S:1:pos:R:3 pbc="T T T"
Cs -5.9425 -4.5060 3.9641
Cs -6.9005 -4.7286 -1.1637
Be 0.0000 0.0000 0.0000
As -4.2016 -3.2712 0.9270
As -8.6414 -5.9634 1.8734
```

Properties
The formation energy comes out at 0.14 eV per atom. The value obtained for the density of states at the Fermi level is 4.47 states/eV/f.u. The distance to the lowest polymorph of the same formula is 57 meV per atom. Its total energy is -2.802 eV per atom.

---

# 7
Below is a relaxed structure of Cs3BeAs, with properties calculated at the GGA-PBE level.

Structure (extended XYZ):
```
5
Lattice="-6.3536 1.1223 0.8545 -1.1688 -6.3959 -0.2900 0.7898 -0.4366 6.4454" Properties=species:S:1:pos:R:3 pbc="T T T"
Cs -0.5844 -3.1980 -0.1450
Cs 0.3949 -0.2183 3.2227
Cs -3.1768 0.5612 0.4273
Be 0.0000 0.0000 0.0000
As -3.3663 -2.8551 3.5050
```

Properties
The formation energy comes out at 0.68 eV per atom. The value obtained for the density of states at the Fermi level is 15.32 states/eV/f.u. Its total energy is -1.505 eV per atom.

---

# 8
Below is a relaxed structure of CsBe3As2, with properties calculated at the GGA-PBE level.

Structure (extended XYZ):
```
12
Lattice="-1.8387 -3.1635 -0.8445 7.3400 -1.6991 -1.2669 -2.1011 -1.2068 9.0949" Properties=species:S:1:pos:R:3 pbc="T T T"
Cs 1.8057 -5.1277 6.9275
Cs 1.5945 -0.9417 0.0560
Be 2.4133 -2.5582 4.3287
Be 2.7071 -4.6886 3.3201
Be -1.0912 -2.8467 4.6902
Be 4.4914 -3.2227 2.2933
Be 0.6931 -1.3808 3.6635
Be 0.9870 -3.5112 2.6548
As 4.3524 -3.7701 4.6461
As -0.9522 -2.2994 2.3374
As 2.6698 -4.0907 1.1615
As 0.7304 -1.9788 5.8220
```

Properties
The formation energy comes out at -0.17 eV per atom. The value obtained for the density of states at the Fermi level is 2.17 states/eV/f.u. Its total energy is -3.721 eV per atom.

---

# 9
Below is a relaxed structure of CsBe6As4, with properties calculated at the GGA-PBE level.

Structure (extended XYZ):
```
11
Lattice="3.7131 0.1371 -0.5620 0.0581 3.7151 -0.5620 0.0651 0.0665 13.9370" Properties=species:S:1:pos:R:3 pbc="T T T"
Cs 0.0000 0.0000 0.0000
Be 2.8319 1.0649 6.4065
Be 3.2701 1.5125 9.4111
Be 0.5662 2.4062 3.4019
Be 2.3937 0.6173 3.4019
Be 1.4426 3.3015 9.4112
Be 1.0044 2.8539 6.4065
As 1.5860 1.6201 10.8744
As 0.7730 0.7896 5.3001
As 3.0633 3.1291 7.5130
As 2.2503 2.2987 1.9387
```

Properties
The formation energy comes out at -0.07 eV per atom. The value obtained for the density of states at the Fermi level is 2.25 states/eV/f.u. Its total energy is -3.871 eV per atom.

---

# 10
Below is a relaxed structure of CsBe8As6, with properties calculated at the GGA-PBE level.

Structure (extended XYZ):
```
15
Lattice="0.4444 -3.3337 -5.7096 1.6431 -5.0949 3.9055 -6.5547 -0.6839 0.6919" Properties=species:S:1:pos:R:3 pbc="T T T"
Cs 0.0000 0.0000 0.0000
Be -1.4917 -3.0429 -0.3714
Be -2.9755 -6.0696 -0.7408
Be -3.2675 -3.4416 1.1987
Be -2.4864 -3.3688 -2.5351
Be 0.0161 -4.8938 -0.0921
Be -1.1998 -5.6709 -2.3109
Be -1.9808 -5.7437 1.4229
Be -4.4834 -4.2187 -1.0201
As -0.1927 -3.6421 -2.0548
As -0.9948 -3.7043 1.6770
As -3.4843 -2.1834 -0.7854
As -4.2746 -5.4704 0.9426
As -3.4724 -5.4082 -2.7892
As -0.9830 -6.9291 -0.3268
```

Properties
The formation energy comes out at -0.13 eV per atom. The value obtained for the density of states at the Fermi level is 5.29 states/eV/f.u. Its total energy is -4.031 eV per atom.

---

# 11
Below is a relaxed structure of Cs2BeAs, with properties calculated at the GGA-PBE level.

Structure (extended XYZ):
```
4
Lattice="0.0000 4.3443 4.3443 4.3443 0.0000 4.3443 4.3443 4.3443 0.0000" Properties=species:S:1:pos:R:3 pbc="T T T"
Cs 2.1722 2.1722 2.1722
Cs 6.5165 6.5165 6.5165
Be 0.0000 0.0000 0.0000
As 4.3443 4.3443 4.3443
```

Properties
The formation energy comes out at 0.62 eV per atom. The value obtained for the density of states at the Fermi level is 2.65 states/eV/f.u. The distance to the lowest polymorph of the same formula is 0 meV per atom. Its total energy is -1.898 eV per atom.

---

# 12
Below is a relaxed structure of Cs2BeAs, with properties calculated at the GGA-PBE level.

Structure (extended XYZ):
```
8
Lattice="5.3410 0.0000 0.0000 0.0000 5.3410 0.0000 2.6705 2.6705 11.7503" Properties=species:S:1:pos:R:3 pbc="T T T"
Cs 3.9724 1.3352 2.9376
Cs 1.3686 4.0057 2.9376
Cs 4.0057 4.0391 8.8127
Cs 6.6762 6.6429 8.8127
Be 2.6705 2.6705 0.0000
Be 2.6705 5.3410 5.8751
As 0.0000 0.0000 0.0000
As 5.3410 2.6705 5.8751
```

Properties
The formation energy comes out at 0.87 eV per atom. The value obtained for the density of states at the Fermi level is 3.23 states/eV/f.u. The distance to the lowest polymorph of the same formula is 252 meV per atom. Its total energy is -1.646 eV per atom.